VASP calculation (GGA+U) on a relaxed structure of Cr3AuO.

Results
- Total DFT energy (no corrections): -4.974 eV per atom

Unit cell a=5.154 b=5.154 c=5.154 alpha=90.00 beta=90.00 gamma=90.00
Site moments in Bohr magnetons follow the coordinates.
Atoms (fractional coordinates):
Cr1 0.000 0.500 0.000  4.46
Cr2 0.000 0.000 0.500  4.48
Cr3 0.500 0.000 0.000  4.41
O1 0.500 0.500 0.500  -0.43
Au1 0.000 0.000 0.000  0.23

=====

VASP calculation (GGA+U) on a relaxed structure of Cr2AuO.

Results
- Total DFT energy (no corrections): -6.233 eV per atom

Unit cell a=5.392 b=5.392 c=6.583 alpha=65.82 beta=65.82 gamma=90.00
Site moments in Bohr magnetons follow the coordinates.
Atoms (fractional coordinates):
O1 0.500 0.500 0.000  -0.08
O2 0.250 0.750 0.500  -0.08
Au1 0.750 0.250 0.500  0.04
Au2 0.000 0.000 0.000  0.04
Cr1 0.482 0.125 0.250  3.92
Cr2 0.375 0.518 0.750  3.89
Cr3 0.268 0.625 0.250  3.91
Cr4 0.875 0.732 0.750  3.88

=====

VASP calculation (GGA+U) on a relaxed structure of Cr4Au3O12.

Results
- Total DFT energy (no corrections): -6.209 eV per atom

Unit cell a=6.558 b=6.558 c=6.558 alpha=109.47 beta=109.47 gamma=109.47
Site moments in Bohr magnetons follow the coordinates.
Atoms (fractional coordinates):
O1 0.691 0.876 0.184  -0.16
O2 0.184 0.309 0.493  -0.16
O3 0.493 0.184 0.309  -0.16
O4 0.124 0.816 0.309  -0.16
O5 0.816 0.691 0.507  -0.16
O6 0.691 0.507 0.816  -0.16
O7 0.309 0.124 0.816  -0.16
O8 0.816 0.309 0.124  -0.16
O9 0.507 0.816 0.691  -0.16
O10 0.184 0.691 0.876  -0.16
O11 0.876 0.184 0.691  -0.16
O12 0.309 0.493 0.184  -0.16
Cr1 0.500 0.500 0.500  2.81
Cr2 0.500 0.000 0.000  2.81
Cr3 0.000 0.000 0.500  2.81
Cr4 0.000 0.500 0.000  2.81
Au1 0.500 0.500 0.000  -0.12
Au2 0.000 0.500 0.500  -0.12
Au3 0.500 0.000 0.500  -0.12

=====

VASP calculation (GGA+U) on a relaxed structure of CrAu3O.

Results
- Total DFT energy (no corrections): -4.060 eV per atom

Unit cell a=4.505 b=4.505 c=4.505 alpha=90.00 beta=90.00 gamma=90.00
Site moments in Bohr magnetons follow the coordinates.
Atoms (fractional coordinates):
Au1 0.000 0.000 0.500  0.00
Au2 0.500 0.000 0.000  0.04
Au3 0.000 0.500 0.000  0.05
Cr1 0.500 0.500 0.500  4.32
O1 0.000 0.000 0.000  0.07